No. 1
# Rh5C

Rh5C after structural relaxation (GGA-PBE, Alexandria).

Its density of states at the Fermi level is 7.71 states/eV/f.u. The value obtained for the energy above the lowest structure with this stoichiometry is 593.7 meV per atom. The energy of formation comes out at 0.8355 eV per atom.

The structure belongs to space group P-62m (No. 189); the cell edges are 4.6834, 4.6834 and 4.2239 Å and the angles 90.00°, 90.00° and 120.00°. Symmetry generates all atoms from Rh at (0.0000, 0.3238, 0.0000), Rh at (0.3333, 0.6667, 0.5000) and C at (0.0000, 0.0000, 0.5000).

No. 2
# V2Co4Ag

V2Co4Ag after structural relaxation (GGA-PBE, Alexandria).

Its density of states at the Fermi level is 11.47 states/eV/f.u. The energy of formation comes out at 1.3821 eV per atom.

The structure belongs to space group I4/mmm (No. 139); the cell edges are 4.515, 4.515 and 11.624 Å and the angles 90.00°, 90.00° and 90.00°. Symmetry generates all atoms from V at (0.000, 0.000, 0.109), Co at (0.000, 0.000, 0.284), Co at (0.000, 0.500, 0.000) and Ag at (0.000, 0.000, 0.500).

No. 3
# AlFeOs2

AlFeOs2 after structural relaxation (GGA-PBE, Alexandria).

Its density of states at the Fermi level is 2.50 states/eV/f.u. The energy of formation comes out at -0.0201 eV per atom.

The structure belongs to space group R-3m (No. 166, hexagonal axes); the cell edges are 2.7454, 2.7454 and 25.2410 Å and the angles 90.00°, 90.00° and 120.00°. Symmetry generates all atoms from Al at (0.0000, 0.0000, 0.0000), Fe at (0.0000, 0.0000, 0.5000) and Os at (0.0000, 0.0000, 0.2486).

No. 4
# CeNdTh2Se4

CeNdTh2Se4 after structural relaxation (GGA-PBE, Alexandria).

Its raw formation energy is -1.69 eV per atom. Its density of states at the Fermi level is 9.08 states/eV/f.u.

The structure belongs to space group P2/m (No. 10); the cell edges are 7.220, 4.214 and 7.335 Å and the angles 90.00°, 109.44° and 90.00°. Symmetry generates all atoms from Ce at (0.000, 0.000, 0.000), Nd at (0.500, 0.500, 0.000), Th at (0.000, 0.500, 0.500), Th at (0.500, 0.000, 0.500), Se at (0.249, 0.500, 0.247) and Se at (0.250, 0.000, 0.752).

No. 5
# Sr2LaPbW

Sr2LaPbW after structural relaxation (GGA-PBE, Alexandria).

Its density of states at the Fermi level is 7.10 states/eV/f.u. The energy of formation comes out at 0.6346 eV per atom.

The structure belongs to space group P4/mmm (No. 123); the cell edges are 5.935, 5.935 and 5.394 Å and the angles 90.00°, 90.00° and 90.00°. Symmetry generates all atoms from Sr at (0.000, 0.500, 0.000), La at (0.000, 0.000, 0.500), Pb at (0.500, 0.500, 0.500) and W at (0.000, 0.000, 0.000).

No. 6
# Pa2AlZn7

Pa2AlZn7 after structural relaxation (GGA-PBE, Alexandria).

Its density of states at the Fermi level is 6.53 states/eV/f.u. The energy of formation comes out at -0.1124 eV per atom.

The structure belongs to space group P-4m2 (No. 115); the cell edges are 4.179, 4.179 and 10.302 Å and the angles 90.00°, 90.00° and 90.00°. Symmetry generates all atoms from Pa at (0.000, 0.500, 0.245), Al at (0.000, 0.000, 0.500), Zn at (0.000, 0.000, 0.000), Zn at (0.000, 0.500, 0.638), Zn at (0.000, 0.500, 0.868), Zn at (0.500, 0.500, 0.000) and Zn at (0.500, 0.500, 0.500).